Entry 1:
# MnIrN2 (PBE, relaxed)
data_MnIrN2
_space_group_name_H-M_alt 'I -4 2 d'
_space_group_IT_number 122
_space_group_name_Hall 'I -4 2bw'
_cell_length_a 4.477
_cell_length_b 4.477
_cell_length_c 8.774
_cell_angle_alpha 90.00
_cell_angle_beta 90.00
_cell_angle_gamma 90.00
loop_
_atom_site_label
_atom_site_fract_x
_atom_site_fract_y
_atom_site_fract_z
Mn1 0.000 0.000 0.000
Ir1 0.000 0.000 0.500
N1 0.212 0.250 0.125
# N(E_F): 11.9 states/eV per cell
# total magnetic moment: 0.00 Bohr magnetons per cell
# crystal system: tetragonal
# polymorph energy (0 for the lowest one): 82 meV per atom
# theoretical density: 10.4 g/cm3


Entry 2:
# LiSi2Se (PBE, relaxed)
data_LiSi2Se
_space_group_name_H-M_alt 'P 1 2/m 1'
_space_group_IT_number 10
_space_group_name_Hall '-P 2y'
_cell_length_a 2.704
_cell_length_b 5.484
_cell_length_c 4.733
_cell_angle_alpha 90.00
_cell_angle_beta 90.24
_cell_angle_gamma 90.00
loop_
_atom_site_label
_atom_site_fract_x
_atom_site_fract_y
_atom_site_fract_z
Li1 0.000 0.000 0.000
Si1 0.481 0.500 0.247
Se1 0.500 0.000 0.500
# N(E_F): 1.1 states/eV per cell
# total magnetic moment: 0.00 Bohr magnetons per cell
# crystal system: monoclinic
# DFT total energy: -4.048 eV per atom
# theoretical density: 3.4 g/cm3


Entry 3:
# Cd12Ag7Sn (PBE, relaxed)
data_Cd12Ag7Sn
_space_group_name_H-M_alt 'R -3'
_space_group_IT_number 148
_space_group_name_Hall '-R 3'
_cell_length_a 12.5153
_cell_length_b 12.5153
_cell_length_c 9.5608
_cell_angle_alpha 90.00
_cell_angle_beta 90.00
_cell_angle_gamma 120.00
loop_
_atom_site_label
_atom_site_fract_x
_atom_site_fract_y
_atom_site_fract_z
Cd1 0.0356 0.2614 0.4054
Cd2 0.0630 0.5674 0.6498
Ag1 0.0000 0.0000 0.0000
Ag2 0.0076 0.1412 0.7480
Sn1 0.0000 0.0000 0.5000
# ΔE_f: 0.008 eV/atom
# N(E_F): 20.2 states/eV per cell
# total magnetic moment: 0.00 Bohr magnetons per cell
# crystal system: trigonal
# theoretical density: 8.5 g/cm3


Entry 4:
# Mg6In2Cu (PBE, relaxed)
data_Mg6In2Cu
_space_group_name_H-M_alt 'P -6 2 m'
_space_group_IT_number 189
_space_group_name_Hall 'P -6 -2'
_cell_length_a 8.1183
_cell_length_b 8.1183
_cell_length_c 3.3863
_cell_angle_alpha 90.00
_cell_angle_beta 90.00
_cell_angle_gamma 120.00
loop_
_atom_site_label
_atom_site_fract_x
_atom_site_fract_y
_atom_site_fract_z
Mg1 0.0000 0.2562 0.0000
Mg2 0.0000 0.6356 0.5000
In1 0.3333 0.6667 0.0000
Cu1 0.0000 0.0000 0.5000
# ΔE_f: -0.092 eV/atom
# N(E_F): 3.2 states/eV per cell
# total magnetic moment: 0.00 Bohr magnetons per cell
# crystal system: hexagonal
# theoretical density: 3.8 g/cm3


Entry 5:
# DyTm5Pb5 (PBE, relaxed)
data_DyTm5Pb5
_space_group_name_H-M_alt 'C 1 2/m 1'
_space_group_IT_number 12
_space_group_name_Hall '-C 2y'
_cell_length_a 15.571
_cell_length_b 6.215
_cell_length_c 7.305
_cell_angle_alpha 90.00
_cell_angle_beta 103.02
_cell_angle_gamma 90.00
loop_
_atom_site_label
_atom_site_fract_x
_atom_site_fract_y
_atom_site_fract_z
Dy1 0.000 0.000 0.000
Tm1 0.000 0.000 0.500
Tm2 0.157 0.500 0.338
Tm3 0.165 0.500 0.836
Pb1 0.000 0.500 0.000
Pb2 0.168 0.000 0.341
Pb3 0.169 0.000 0.822
# ΔE_f: -0.220 eV/atom
# N(E_F): 16.6 states/eV per cell
# total magnetic moment: 0.00 Bohr magnetons per cell
# crystal system: monoclinic
# theoretical density: 9.9 g/cm3


Entry 6:
# CaSiF2 (PBE, relaxed)
data_CaSiF2
_space_group_name_H-M_alt 'F m -3 m'
_space_group_IT_number 225
_space_group_name_Hall '-F 4 2 3'
_cell_length_a 6.348
_cell_length_b 6.348
_cell_length_c 6.348
_cell_angle_alpha 90.00
_cell_angle_beta 90.00
_cell_angle_gamma 90.00
loop_
_atom_site_label
_atom_site_fract_x
_atom_site_fract_y
_atom_site_fract_z
Ca1 0.000 0.000 0.000
Si1 0.000 0.000 0.500
F1 0.250 0.250 0.250
# N(E_F): 6.6 states/eV per cell
# total magnetic moment: 0.00 Bohr magnetons per cell
# crystal system: cubic
# polymorph energy (0 for the lowest one): 757 meV per atom
# theoretical density: 2.8 g/cm3


Entry 7:
# Zn5P (PBE, relaxed)
data_Zn5P
_space_group_name_H-M_alt 'F -4 3 m'
_space_group_IT_number 216
_space_group_name_Hall 'F -4 2 3'
_cell_length_a 7.264
_cell_length_b 7.264
_cell_length_c 7.264
_cell_angle_alpha 90.00
_cell_angle_beta 90.00
_cell_angle_gamma 90.00
loop_
_atom_site_label
_atom_site_fract_x
_atom_site_fract_y
_atom_site_fract_z
Zn1 0.000 0.000 0.000
Zn2 0.125 0.125 0.625
P1 0.250 0.250 0.250
# ΔE_f: 0.270 eV/atom
# N(E_F): 5.1 states/eV per cell
# total magnetic moment: 0.00 Bohr magnetons per cell
# crystal system: cubic
# polymorph energy (0 for the lowest one): 211 meV per atom
# theoretical density: 6.2 g/cm3


Entry 8:
# GaBi2Os (PBE, relaxed)
data_GaBi2Os
_space_group_name_H-M_alt 'F m -3 m'
_space_group_IT_number 225
_space_group_name_Hall '-F 4 2 3'
_cell_length_a 7.047
_cell_length_b 7.047
_cell_length_c 7.047
_cell_angle_alpha 90.00
_cell_angle_beta 90.00
_cell_angle_gamma 90.00
loop_
_atom_site_label
_atom_site_fract_x
_atom_site_fract_y
_atom_site_fract_z
Ga1 0.000 0.000 0.000
Bi1 0.250 0.250 0.250
Os1 0.000 0.000 0.500
# ΔE_f: 0.606 eV/atom
# N(E_F): 11.4 states/eV per cell
# total magnetic moment: 0.00 Bohr magnetons per cell
# crystal system: cubic
# polymorph energy (0 for the lowest one): 0 meV per atom
# theoretical density: 12.9 g/cm3


Entry 9:
# MnCoW2 (PBE, relaxed)
data_MnCoW2
_space_group_name_H-M_alt 'P 1 m 1'
_space_group_IT_number 6
_space_group_name_Hall 'P -2y'
_cell_length_a 2.682
_cell_length_b 4.334
_cell_length_c 4.673
_cell_angle_alpha 90.00
_cell_angle_beta 95.87
_cell_angle_gamma 90.00
loop_
_atom_site_label
_atom_site_fract_x
_atom_site_fract_y
_atom_site_fract_z
Mn1 0.000 0.000 0.000
Co1 0.027 0.500 0.678
W1 0.412 0.000 0.504
W2 0.644 0.500 0.169
# ΔE_f: 0.145 eV/atom
# N(E_F): 3.9 states/eV per cell
# total magnetic moment: 0.69 Bohr magnetons per cell
# crystal system: monoclinic
# polymorph energy (0 for the lowest one): 15 meV per atom
# theoretical density: 14.8 g/cm3


Entry 10:
# RbMg2Pb (PBE, relaxed)
data_RbMg2Pb
_space_group_name_H-M_alt 'P 1 21 1'
_space_group_IT_number 4
_space_group_name_Hall 'P 2yb'
_cell_length_a 5.121
_cell_length_b 5.076
_cell_length_c 10.836
_cell_angle_alpha 90.00
_cell_angle_beta 103.60
_cell_angle_gamma 90.00
loop_
_atom_site_label
_atom_site_fract_x
_atom_site_fract_y
_atom_site_fract_z
Rb1 0.187 0.000 0.375
Mg1 0.047 0.503 0.097
Mg2 0.457 0.500 0.914
Pb1 0.382 0.000 0.761
# ΔE_f: -0.116 eV/atom
# N(E_F): 2.8 states/eV per cell
# total magnetic moment: 0.00 Bohr magnetons per cell
# crystal system: monoclinic
# theoretical density: 4.1 g/cm3


Entry 11:
# Cu2RuBr (PBE, relaxed)
data_Cu2RuBr
_space_group_name_H-M_alt 'P 1 m 1'
_space_group_IT_number 6
_space_group_name_Hall 'P -2y'
_cell_length_a 3.177
_cell_length_b 3.049
_cell_length_c 6.863
_cell_angle_alpha 90.00
_cell_angle_beta 90.33
_cell_angle_gamma 90.00
loop_
_atom_site_label
_atom_site_fract_x
_atom_site_fract_y
_atom_site_fract_z
Cu1 0.000 0.000 0.000
Cu2 0.498 0.500 0.817
Ru1 0.502 0.500 0.197
Br1 0.508 0.000 0.496
# N(E_F): 3.6 states/eV per cell
# total magnetic moment: 1.22 Bohr magnetons per cell
# crystal system: monoclinic
# polymorph energy (0 for the lowest one): 0 meV per atom
# theoretical density: 7.7 g/cm3


Entry 12:
# BaTa2ZnRe (PBE, relaxed)
data_BaTa2ZnRe
_space_group_name_H-M_alt 'P 4/m m m'
_space_group_IT_number 123
_space_group_name_Hall '-P 4 2'
_cell_length_a 5.077
_cell_length_b 5.077
_cell_length_c 4.992
_cell_angle_alpha 90.00
_cell_angle_beta 90.00
_cell_angle_gamma 90.00
loop_
_atom_site_label
_atom_site_fract_x
_atom_site_fract_y
_atom_site_fract_z
Ba1 0.000 0.000 0.000
Ta1 0.000 0.500 0.000
Zn1 0.500 0.500 0.500
Re1 0.000 0.000 0.500
# ΔE_f: 3.257 eV/atom
# N(E_F): 6.2 states/eV per cell
# total magnetic moment: 0.00 Bohr magnetons per cell
# crystal system: tetragonal
# theoretical density: 9.7 g/cm3